[1]
A plane-wave DFT calculation with PBEsol was carried out for crystalline CaB2O4 at its relaxed geometry.

Structure (POSCAR):
```
CaB2O4
1.0
8.994 0.000 0.000
0.000 8.994 0.000
0.000 0.000 8.994
Ca B O
12 24 48
direct
0.000 0.000 0.000 Ca
0.000 0.500 0.500 Ca
0.127 0.627 0.873 Ca
0.127 0.873 0.373 Ca
0.373 0.127 0.873 Ca
0.373 0.373 0.373 Ca
0.500 0.000 0.500 Ca
0.500 0.500 0.000 Ca
0.627 0.627 0.627 Ca
0.627 0.873 0.127 Ca
0.873 0.127 0.627 Ca
0.873 0.373 0.127 Ca
0.120 0.191 0.346 B
0.120 0.309 0.846 B
0.154 0.620 0.191 B
0.154 0.880 0.691 B
0.191 0.154 0.620 B
0.191 0.346 0.120 B
0.309 0.654 0.620 B
0.309 0.846 0.120 B
0.346 0.120 0.191 B
0.346 0.380 0.691 B
0.380 0.691 0.346 B
0.380 0.809 0.846 B
0.620 0.191 0.154 B
0.620 0.309 0.654 B
0.654 0.620 0.309 B
0.654 0.880 0.809 B
0.691 0.154 0.880 B
0.691 0.346 0.380 B
0.809 0.654 0.880 B
0.809 0.846 0.380 B
0.846 0.120 0.309 B
0.846 0.380 0.809 B
0.880 0.691 0.154 B
0.880 0.809 0.654 B
0.007 0.090 0.282 O
0.007 0.410 0.782 O
0.090 0.218 0.507 O
0.090 0.282 0.007 O
0.121 0.166 0.770 O
0.121 0.334 0.270 O
0.166 0.730 0.621 O
0.166 0.770 0.121 O
0.218 0.507 0.090 O
0.218 0.993 0.590 O
0.230 0.621 0.334 O
0.230 0.879 0.834 O
0.270 0.121 0.334 O
0.270 0.379 0.834 O
0.282 0.007 0.090 O
0.282 0.493 0.590 O
0.334 0.230 0.621 O
0.334 0.270 0.121 O
0.379 0.666 0.770 O
0.379 0.834 0.270 O
0.410 0.718 0.507 O
0.410 0.782 0.007 O
0.493 0.590 0.282 O
0.493 0.910 0.782 O
0.507 0.090 0.218 O
0.507 0.410 0.718 O
0.590 0.218 0.993 O
0.590 0.282 0.493 O
0.621 0.166 0.730 O
0.621 0.334 0.230 O
0.666 0.730 0.879 O
0.666 0.770 0.379 O
0.718 0.507 0.410 O
0.718 0.993 0.910 O
0.730 0.621 0.166 O
0.730 0.879 0.666 O
0.770 0.121 0.166 O
0.770 0.379 0.666 O
0.782 0.007 0.410 O
0.782 0.493 0.910 O
0.834 0.230 0.879 O
0.834 0.270 0.379 O
0.879 0.666 0.730 O
0.879 0.834 0.230 O
0.910 0.718 0.993 O
0.910 0.782 0.493 O
0.993 0.590 0.218 O
0.993 0.910 0.718 O
```

- uncorrected energy (eV/atom) = -8.0789
- formation energy (no corrections) (eV/atom) = -2.7699
- offset from the most stable computed form (meV/atom) = 3.2
- theoretical density (g cm⁻³) = 3.443



[2]
A plane-wave DFT calculation with PBEsol was carried out for crystalline Ca2B2O5 at its relaxed geometry.

Structure (POSCAR):
```
Ca2B2O5
1.0
3.534 0.000 0.000
0.000 6.336 0.000
0.000 0.000 19.190
Ca B O
8 8 20
direct
0.206 0.060 0.062 Ca
0.206 0.198 0.789 Ca
0.294 0.802 0.289 Ca
0.294 0.940 0.562 Ca
0.706 0.302 0.211 Ca
0.706 0.440 0.938 Ca
0.794 0.560 0.438 Ca
0.794 0.698 0.711 Ca
0.147 0.499 0.082 B
0.183 0.286 0.344 B
0.317 0.714 0.844 B
0.353 0.501 0.582 B
0.647 0.001 0.918 B
0.683 0.214 0.656 B
0.817 0.786 0.156 B
0.853 0.999 0.418 B
0.002 0.704 0.096 O
0.191 0.512 0.853 O
0.204 0.441 0.015 O
0.209 0.360 0.135 O
0.211 0.175 0.283 O
0.289 0.825 0.783 O
0.291 0.640 0.635 O
0.296 0.559 0.515 O
0.309 0.488 0.353 O
0.498 0.296 0.596 O
0.502 0.796 0.904 O
0.691 0.988 0.147 O
0.704 0.059 0.985 O
0.709 0.140 0.865 O
0.711 0.325 0.717 O
0.789 0.675 0.217 O
0.791 0.860 0.365 O
0.796 0.941 0.485 O
0.809 0.012 0.647 O
0.998 0.204 0.404 O
```

- uncorrected energy (eV/atom) = -7.8203
- formation energy (no corrections) (eV/atom) = -2.8707
- offset from the most stable computed form (meV/atom) = 0.0
- theoretical density (g cm⁻³) = 2.810



[3]
A plane-wave DFT calculation with PBEsol was carried out for crystalline CaSiBO5 at its relaxed geometry.

Structure (POSCAR):
```
CaSiBO5
1.0
4.899 0.000 0.000
0.000 7.625 0.000
-0.239 0.000 9.510
Ca Si B O
4 4 4 20
direct
0.002 0.114 0.172 Ca
0.002 0.386 0.672 Ca
0.998 0.614 0.328 Ca
0.998 0.886 0.828 Ca
0.473 0.742 0.584 Si
0.473 0.758 0.084 Si
0.527 0.242 0.916 Si
0.527 0.258 0.416 Si
0.439 0.096 0.674 B
0.439 0.404 0.174 B
0.561 0.596 0.826 B
0.561 0.904 0.326 B
0.234 0.602 0.548 O
0.234 0.898 0.048 O
0.265 0.604 0.800 O
0.265 0.896 0.300 O
0.299 0.164 0.800 O
0.299 0.336 0.300 O
0.333 0.581 0.149 O
0.333 0.919 0.649 O
0.356 0.212 0.557 O
0.356 0.288 0.057 O
0.644 0.712 0.943 O
0.644 0.788 0.443 O
0.667 0.081 0.351 O
0.667 0.419 0.851 O
0.701 0.664 0.700 O
0.701 0.836 0.200 O
0.735 0.104 0.700 O
0.735 0.396 0.200 O
0.766 0.102 0.952 O
0.766 0.398 0.452 O
```

- uncorrected energy (eV/atom) = -7.7157
- formation energy (no corrections) (eV/atom) = -2.5728
- theoretical density (g cm⁻³) = 2.973



[4]
A plane-wave DFT calculation with PBEsol was carried out for crystalline Ca4YB3O10 at its relaxed geometry.

Structure (POSCAR):
```
Ca4YB3O10
1.0
4.020 -7.974 0.000
4.020 7.974 0.000
-0.675 0.000 3.440
Ca Y B O
4 1 3 10
direct
0.112 0.888 0.000 Ca
0.197 0.562 0.673 Ca
0.562 0.197 0.673 Ca
0.888 0.112 0.000 Ca
0.639 0.639 0.324 Y
0.269 0.269 0.627 B
0.498 0.886 0.246 B
0.886 0.498 0.246 B
0.025 0.679 0.445 O
0.107 0.257 0.579 O
0.257 0.107 0.579 O
0.402 0.940 0.047 O
0.415 0.696 0.250 O
0.445 0.445 0.724 O
0.679 0.025 0.445 O
0.696 0.415 0.250 O
0.810 0.810 0.902 O
0.940 0.402 0.047 O
```

- uncorrected energy (eV/atom) = -7.9656
- formation energy (no corrections) (eV/atom) = -3.0269
- theoretical density (g cm⁻³) = 3.324



[5]
A plane-wave DFT calculation with PBEsol was carried out for crystalline Ca2B5Os3 at its relaxed geometry.

Structure (POSCAR):
```
Ca2B5Os3
1.0
5.203 -2.018 0.000
5.203 2.018 0.000
-4.537 0.000 6.582
Ca B Os
2 5 3
direct
0.160 0.160 0.261 Ca
0.840 0.840 0.739 Ca
0.148 0.145 0.810 B
0.497 0.503 0.000 B
0.698 0.251 0.381 B
0.749 0.302 0.619 B
0.855 0.852 0.190 B
0.218 0.782 0.500 Os
0.351 0.381 0.098 Os
0.619 0.649 0.902 Os
```

- uncorrected energy (eV/atom) = -7.9643
- DFT formation energy (meV/atom) = -365
- theoretical density (g cm⁻³) = 8.470